(1)
First-principles (PBE) data for a relaxed VSeS2Cl crystal, as listed in the Alexandria database.

a b c (Å): 4.897 4.897 4.697
angles (deg): 90.00 90.00 90.00
Space group P4/mmm (No. 123)
One atom of each set of equivalent atoms:
1 V 0.000 0.000 0.000
2 Se 0.500 0.500 0.500
3 S 0.000 0.500 0.500
4 Cl 0.500 0.500 0.000

Output
Spin magnetization, μB per formula unit: 3.0
Polymorph energy (0 for the lowest one), eV/atom: 0.594
Formation energy from raw total energies, eV/atom: 0.615

(2)
First-principles (PBE) data for a relaxed Ce7Si2Sb2 crystal, as listed in the Alexandria database.

a b c (Å): 7.854 10.755 7.422
angles (deg): 90.00 90.00 90.00
Space group Cmmm (No. 65)
One atom of each set of equivalent atoms:
1 Ce 0.000 0.000 0.000
2 Ce 0.000 0.500 0.318
3 Ce 0.250 0.250 0.319
4 Si 0.153 0.000 0.500
5 Sb 0.000 0.302 0.000

Output
Spin magnetization, μB per formula unit: 6.2
Formation energy from raw total energies, eV/atom: -0.325

(3)
First-principles (PBE) data for a relaxed PmThMg crystal, as listed in the Alexandria database.

a b c (Å): 3.579 3.579 14.330
angles (deg): 90.00 90.00 90.00
Space group I4mm (No. 107)
One atom of each set of equivalent atoms:
1 Pm 0.000 0.000 0.000
2 Th 0.000 0.000 0.678
3 Mg 0.000 0.000 0.340

Output
Energy relative to the elements, eV per atom: 0.0261
Spin magnetization, μB per formula unit: 0.0
Polymorph energy (0 for the lowest one), eV/atom: 0.054

(4)
First-principles (PBE) data for a relaxed BaLiCrP2 crystal, as listed in the Alexandria database.

a b c (Å): 5.643 5.643 5.250
angles (deg): 90.00 90.00 90.00
Space group P4/mmm (No. 123)
One atom of each set of equivalent atoms:
1 Ba 0.000 0.000 0.000
2 Li 0.500 0.500 0.500
3 Cr 0.000 0.000 0.500
4 P 0.000 0.500 0.000

Output
Energy relative to the elements, eV per atom: 1.8041
Spin magnetization, μB per formula unit: 0.4